# Ir3CSe | Alexandria | PBE | relaxed
# - formation energy (no corrections) (eV/atom) = 2.6252
# - size of the total moment (μB per formula unit) = 1.3
# - electronic total energy (eV per cell) = -26.2
# - calculated volume (Å³/cell) = 95
data_Ir3CSe
_chemical_formula_sum 'Ir3 C1 Se1'
_cell_length_a 4.5705
_cell_length_b 4.5705
_cell_length_c 4.5705
_cell_angle_alpha 90.00
_cell_angle_beta 90.00
_cell_angle_gamma 90.00
_symmetry_space_group_name_H-M 'P m -3 m'
_symmetry_Int_Tables_number 221
_symmetry_space_group_name_Hall '-P 4 2 3'
loop_
_atom_site_label
_atom_site_type_symbol
_atom_site_fract_x
_atom_site_fract_y
_atom_site_fract_z
Ir1 Ir 0.0000 0.0000 0.5000
C1 C 0.5000 0.5000 0.5000
Se1 Se 0.0000 0.0000 0.0000